[1]
Material: Tb2YEr12
Method: DFT, GGA-PBE
State: optimized geometry

Output
- Uncorrected energy: -64.78 eV per formula unit
- E_form: 0.38 eV/atom
- Space group: No. 125

a b c (Å): 6.3842 6.3842 24.5636
angles (deg): 90.00 90.00 90.00
Each line ends with the local moment (μB).
Atoms (fractional coordinates):
Tb 0.5000 0.0000 0.2678  0.11
Tb 0.0000 0.5000 0.2678  0.11
Tb 0.0000 0.5000 0.7322  0.11
Tb 0.5000 0.0000 0.7322  0.11
Y 0.5000 0.0000 0.0000  0.00
Y 0.0000 0.5000 0.0000  0.00
Er 0.5000 0.5000 0.7860  0.12
Er 0.0000 0.0000 0.7860  0.12
Er 0.7507 0.7493 0.8870  0.03
Er 0.2507 0.7507 0.8870  0.03
Er 0.0000 0.0000 0.3390  0.10
Er 0.2493 0.7493 0.1130  0.03
Er 0.8311 0.3311 0.5609  0.00
Er 0.5000 0.5000 0.3390  0.10
Er 0.2493 0.2507 0.8870  0.03
Er 0.7493 0.7507 0.1130  0.03
Er 0.3311 0.1689 0.5609  0.00
Er 0.6689 0.1689 0.4391  0.00
Er 0.0000 0.0000 0.6610  0.10
Er 0.1689 0.3311 0.4391  0.00
Er 0.2507 0.2493 0.1130  0.03
Er 0.8311 0.6689 0.4391  0.00
Er 0.6689 0.8311 0.5609  0.00
Er 0.0000 0.0000 0.2140  0.12
Er 0.1689 0.6689 0.5609  0.00
Er 0.5000 0.5000 0.6610  0.10
Er 0.7493 0.2493 0.8870  0.03
Er 0.5000 0.5000 0.2140  0.12
Er 0.3311 0.8311 0.4391  0.00
Er 0.7507 0.2507 0.1130  0.03

=====

[2]
Material: TeWS2Cl
Method: DFT, GGA-PBE
State: optimized geometry

Output
- Uncorrected energy: -19.20 eV per formula unit
- ΔE to the lowest computed polymorph: 1182 meV per atom
- Space group: No. 123

a b c (Å): 5.1582 5.1582 5.0054
angles (deg): 90.00 90.00 90.00
Each line ends with the local moment (μB).
Atoms (fractional coordinates):
S 0.0000 0.5000 0.0000  -0.12
S 0.5000 0.0000 0.0000  -0.12
Te 0.0000 0.0000 0.0000  0.01
W 0.5000 0.5000 0.5000  3.36
Cl 0.0000 0.0000 0.5000  0.04

=====

[3]
Material: AlOs
Method: DFT, GGA-PBE
State: optimized geometry

Output
- Uncorrected energy: -15.52 eV per formula unit
- E_form: -0.27 eV/atom
- Space group: No. 8

a b c (Å): 4.9395 4.9395 6.5375
angles (deg): 74.49 74.49 33.93
Atoms (fractional coordinates):
Al 0.9802 0.9802 0.0185
Al 0.6687 0.6687 0.6640
Al 0.6243 0.6243 0.2653
Os 0.3396 0.3396 0.3386
Os 0.9500 0.9500 0.6164
Os 0.2704 0.2704 0.9305

=====

[4]
Material: ZnFeOs
Method: DFT, GGA-PBE
State: optimized geometry

Output
- Uncorrected energy: -20.76 eV per formula unit
- ΔE to the lowest computed polymorph: 0 meV per atom
- E_form: 0.07 eV/atom
- Space group: No. 129

a b c (Å): 2.6832 2.6832 10.8941
angles (deg): 90.00 90.00 90.00
Atoms (fractional coordinates):
Os 0.0000 0.5000 0.5967
Os 0.5000 0.0000 0.4033
Fe 0.0000 0.5000 0.2565
Fe 0.5000 0.0000 0.7435
Zn 0.5000 0.0000 0.0950
Zn 0.0000 0.5000 0.9050

=====

Look up the uncorrected energy of the second one. -19.20 eV per formula unit